Record 1
Compound: NbVPdAu
Source: the Alexandria database
Functional: GGA-PBE
Structure: optimized geometry

Energy relative to the elements ... -0.14 eV/f.u.
Excess energy over the best structure of this formula in the dataset ... 0.000 eV/atom
Final energy ... -6.949 eV/atom

a = 4.5279 Å, b = 4.5279 Å, c = 4.5279 Å
α = 60.00°, β = 60.00°, γ = 60.00°
Each line ends with the local moment (μB).
Positions (direct):
Nb 0.2500 0.2500 0.2500  0.37
Au 0.7500 0.7500 0.7500  0.08
Pd 0.0000 0.0000 0.0000  0.15
V 0.5000 0.5000 0.5000  2.01


Record 2
Compound: NdHoErMg
Source: the Alexandria database
Functional: GGA-PBE
Structure: optimized geometry

Energy relative to the elements ... 0.14 eV/f.u.
Excess energy over the best structure of this formula in the dataset ... 0.059 eV/atom
Final energy ... -3.841 eV/atom

a = 5.5328 Å, b = 5.5328 Å, c = 5.5328 Å
α = 60.00°, β = 60.00°, γ = 60.00°
Positions (direct):
Mg 0.0000 0.0000 0.0000
Nd 0.7500 0.7500 0.7500
Ho 0.2500 0.2500 0.2500
Er 0.5000 0.5000 0.5000